An optimized crystal structure of SrYAl2Co, computed with PBE-GGA.

Unit cell a=4.817 b=4.817 c=4.986 alpha=90.00 beta=90.00 gamma=90.00
Space group P4/mmm (No. 123)
One atom of each set of equivalent atoms:
Sr: 0.000 0.000 0.000 [1 per cell]
Y: 0.500 0.500 0.000 [1 per cell]
Al: 0.000 0.500 0.500 [2 per cell]
Co: 0.500 0.500 0.500 [1 per cell]

Properties
The calculation puts the calculated volume at 23.1 A^3/atom. As for the total energy: -4.732 eV per atom.